Here is crystalline MnSiO3 at its relaxed geometry from Alexandria. Energies are from GGA+U.

Computed properties:
- N(E_F) (states/eV/cell) = 0.00
- E (eV for the cell shown) = -158.41
- space-group type = No. 15
- crystal system = monoclinic

a b c (Å): 5.471 6.892 6.891
angles (deg): 84.28 74.83 74.83
Last column: magnetic moment on the atom in μB.
Atoms (fractional coordinates):
O (0.076, 0.659, 0.646)  0.02
O (0.351, 0.385, 0.866)  0.04
Mn (0.750, 0.900, 0.100)  4.66
Si (0.717, 0.381, 0.206)  0.01
Mn (0.750, 0.268, 0.732)  4.64
Mn (0.250, 0.100, 0.900)  4.66
O (0.335, 0.029, 0.215)  0.06
O (0.649, 0.615, 0.134)  0.04
O (0.924, 0.341, 0.354)  0.02
O (0.851, 0.866, 0.385)  0.04
Mn (0.250, 0.732, 0.268)  4.64
Si (0.283, 0.619, 0.794)  0.01
O (0.835, 0.215, 0.029)  0.06
O (0.165, 0.785, 0.971)  0.06
Si (0.217, 0.206, 0.381)  0.01
O (0.424, 0.354, 0.341)  0.02
O (0.665, 0.971, 0.785)  0.06
Si (0.783, 0.794, 0.619)  0.01
O (0.576, 0.646, 0.659)  0.02
O (0.149, 0.134, 0.615)  0.04